Entry from the Alexandria database: an optimized crystal structure of Zn5Cu2Au (PBE).

Cell lengths 6.691, 6.691, 10.621 Å; angles 90.00, 90.00, 90.00 degrees
Space group I4/mcm (No. 140)
Inequivalent atoms, fractional coordinates:
Zn1 0.000 0.000 0.000 (multiplicity 4)
Zn2 0.151 0.349 0.156 (multiplicity 16)
Cu1 0.138 0.362 0.500 (multiplicity 8)
Au1 0.000 0.000 0.250 (multiplicity 4)

**ΔE_f**: -37 meV per atom